Entry 1:
Below is a geometry-optimized Pm3Si5S12 structure, with properties calculated at the GGA-PBE level.

Calculated values
Formation energy from raw total energies in eV per atom: -0.98
DFT total energy in eV per cell: -442.14
DOS at the Fermi energy in states/eV/f.u.: 1.3
Theoretical density in g/cm³: 3.7

Cell and atoms, written as POSCAR:
```
Pm3Si5S12
1.0
13.067 0.000 0.000
-4.356 12.320 0.000
-4.356 -6.160 10.669
Pm Si S
12 20 48
Direct
0.750 0.375 0.125
0.875 0.750 0.125
0.375 0.750 0.625
0.250 0.125 0.375
0.875 0.125 0.250
0.375 0.625 0.250
0.625 0.375 0.750
0.125 0.875 0.750
0.750 0.875 0.625
0.625 0.250 0.375
0.125 0.250 0.875
0.250 0.625 0.875
0.125 0.375 0.250
0.000 0.500 0.000
0.000 0.000 0.000
0.375 0.250 0.125
0.500 0.000 0.500
0.500 0.500 0.000
0.125 0.750 0.375
0.750 0.125 0.875
0.750 0.625 0.375
0.375 0.125 0.750
0.625 0.875 0.250
0.500 0.500 0.500
0.500 0.000 0.000
0.000 0.000 0.500
0.250 0.375 0.625
0.250 0.875 0.125
0.000 0.500 0.500
0.875 0.250 0.625
0.625 0.750 0.875
0.875 0.625 0.750
0.711 0.121 0.023
0.312 0.523 0.402
0.977 0.379 0.289
0.523 0.211 0.121
0.590 0.711 0.688
0.977 0.598 0.188
0.312 0.789 0.410
0.098 0.910 0.121
0.598 0.977 0.688
0.711 0.590 0.188
0.789 0.477 0.379
0.812 0.902 0.023
0.121 0.711 0.523
0.379 0.402 0.090
0.090 0.902 0.379
0.410 0.121 0.598
0.090 0.188 0.211
0.477 0.688 0.098
0.812 0.910 0.289
0.121 0.410 0.098
0.379 0.977 0.789
0.598 0.621 0.410
0.902 0.812 0.523
0.789 0.312 0.910
0.402 0.379 0.590
0.098 0.188 0.477
0.211 0.688 0.090
0.188 0.090 0.711
0.621 0.023 0.211
0.879 0.590 0.902
0.523 0.312 0.902
0.590 0.879 0.402
0.910 0.812 0.789
0.910 0.098 0.621
0.879 0.289 0.477
0.188 0.098 0.977
0.621 0.598 0.910
0.402 0.023 0.312
0.289 0.410 0.812
0.211 0.523 0.621
0.902 0.090 0.879
0.688 0.211 0.590
0.477 0.789 0.879
0.023 0.402 0.812
0.410 0.289 0.312
0.023 0.621 0.711
0.688 0.477 0.598
0.289 0.879 0.977
```

Entry 2:
Below is a geometry-optimized Tm5Al structure, with properties calculated at the GGA-PBE level.

Calculated values
Energy above the most stable polymorph in this dataset in eV/atom: 0.036
DFT total energy in eV per cell: -26.51
DOS at the Fermi energy in states/eV/f.u.: 6.9
Energy of formation in eV/f.u.: -0.415
Theoretical density in g/cm³: 8.7

Cell and atoms, written as POSCAR:
```
Tm5Al
1.0
3.357 0.000 -0.952
0.000 5.368 0.000
0.736 0.000 8.991
Tm Al
5 1
Direct
0.777 0.500 0.554
0.659 0.000 0.318
0.452 0.500 0.904
0.335 0.000 0.669
0.109 0.500 0.218
0.002 0.000 0.004
```

Entry 3:
Below is a geometry-optimized TlCu4P3 structure, with properties calculated at the GGA-PBE level.

Calculated values
DFT total energy in eV per cell: -34.83
DOS at the Fermi energy in states/eV/f.u.: 4.6
Energy of formation in eV/f.u.: 0.150
Theoretical density in g/cm³: 6.6

Cell and atoms, written as POSCAR:
```
TlCu4P3
1.0
-1.528 -2.875 -2.117
0.703 -2.499 2.888
-8.272 1.780 3.553
Cu P Tl
4 3 1
Direct
0.000 0.500 0.153
0.500 0.000 0.153
0.000 0.500 0.847
0.500 0.000 0.847
0.000 0.000 0.000
0.500 0.500 0.290
0.500 0.500 0.710
0.000 0.000 0.500
```

Q: Among the records above, which one has the highest DOS at the Fermi energy?
A: Tm5Al

Q: DFT total energy of number 2 (Tm5Al)?
A: -26.51 eV per cell

Q: What is the formula in the second record?
A: Tm5Al